(1)
The following is a PBE-GGA calculation of Tb2Zn2InPd5 after structural relaxation, from the Alexandria database.

abc: 9.7760 9.7760 3.8149
angles: 90.00 90.00 90.00
Sites, in units of the cell vectors:
Tb  0.1764  0.3236  0.0000
Tb  0.3236  0.8236  0.0000
Tb  0.6764  0.1764  0.0000
Tb  0.8236  0.6764  0.0000
Zn  0.1201  0.6201  0.0000
Zn  0.3799  0.1201  0.0000
Zn  0.6201  0.8799  0.0000
Zn  0.8799  0.3799  0.0000
In  0.0000  0.0000  0.0000
In  0.5000  0.5000  0.0000
Pd  0.0000  0.5000  0.5000
Pd  0.0674  0.7917  0.5000
Pd  0.2083  0.0674  0.5000
Pd  0.2917  0.5674  0.5000
Pd  0.4326  0.2917  0.5000
Pd  0.5000  0.0000  0.5000
Pd  0.5674  0.7083  0.5000
Pd  0.7083  0.4326  0.5000
Pd  0.7917  0.9326  0.5000
Pd  0.9326  0.2083  0.5000

Output
Energy of formation (eV/atom): -0.708
Space group: P4/mbm, No. 127

***

(2)
The following is a PBE-GGA calculation of ZrAuS after structural relaxation, from the Alexandria database.

abc: 12.0018 12.0018 12.0018
angles: 17.85 17.85 17.85
Sites, in units of the cell vectors:
Zr  0.0795  0.0795  0.0795
Zr  0.9205  0.9205  0.9205
Au  0.3603  0.3603  0.3603
Au  0.6397  0.6397  0.6397
S  0.2158  0.2158  0.2158
S  0.7842  0.7842  0.7842

Output
Formation energy (no corrections) (eV/atom): -0.9147
Space group: R-3m, No. 166

***

(3)
The following is a PBE-GGA calculation of TbNdBr6 after structural relaxation, from the Alexandria database.

abc: 7.5811 7.5811 7.1058
angles: 97.79 97.79 124.05
Sites, in units of the cell vectors:
Tb  0.0000  0.0000  0.0000
Nd  0.5000  0.5000  0.5000
Br  0.0975  0.3878  0.2434
Br  0.2476  0.2476  0.7545
Br  0.3878  0.0975  0.2434
Br  0.6122  0.9025  0.7566
Br  0.7524  0.7524  0.2455
Br  0.9025  0.6122  0.7566

Output
E above lowest polymorph (eV per atom): 0.000
Formation energy (no corrections) (eV/atom): -1.8420
Space group: C2/m, No. 12

***

Result set for uncorrected energy: -47.60, -18.70, -34.17 eV per formula unit, one per record in the order listed.